Below is an optimized crystal structure of CsGe2Pt2, with properties calculated at the PBE level.

Unit cell a=4.0655 b=4.0655 c=7.7815 alpha=90.00 beta=90.00 gamma=90.00
Closest atoms and distances in Å follow each position.
Element x y z (fractional)
1 Pt 0.5000 0.0000 0.5000  4 Ge 2.55
2 Pt 0.0000 0.5000 0.5000  4 Ge 2.55
3 Ge 0.5000 0.5000 0.6986  4 Pt 2.55
4 Ge 0.5000 0.5000 0.3014  4 Pt 2.55
5 Cs 0.0000 0.0000 0.0000  8 Ge 3.71, 4 Cs 4.07

D(E_F) (states/eV per atom): 0.48
SG: P4/mmm, No. 123
Magnetic moment (μB per formula unit): 0.00
Energy relative to the elements (eV per formula unit): -1.54